# 1
A relaxed ErSc2Al3Si2Pd crystal, computed with PBE-GGA.

As for the uncorrected energy: -5.73 eV/atom. Its crystal system is orthorhombic. The value obtained for the volume is 320 Å³ per cell.

```
data_ErSc2Al3Si2Pd
_chemical_formula_sum 'Er2 Sc4 Al6 Si4 Pd2'
_cell_length_a 4.120
_cell_length_b 11.667
_cell_length_c 6.662
_cell_angle_alpha 90.00
_cell_angle_beta 90.00
_cell_angle_gamma 90.00
_space_group_name_H-M_alt 'A m m 2'
_space_group_IT_number 38
loop_
_space_group_symop_operation_xyz
'x,y,z'
'-x,-y,z'
'-x,y,z'
'x,-y,z'
'x,y+1/2,z+1/2'
'-x,-y+1/2,z+1/2'
'-x,y+1/2,z+1/2'
'x,-y+1/2,z+1/2'
loop_
_atom_site_label
_atom_site_type_symbol
_atom_site_fract_x
_atom_site_fract_y
_atom_site_fract_z
Er1 Er 0.000 0.000 0.000
Sc1 Sc 0.000 0.210 0.372
Al1 Al 0.500 0.000 0.336
Al2 Al 0.500 0.122 0.699
Si1 Si 0.500 0.171 0.081
Pd1 Pd 0.000 0.000 0.570
```


# 2
A relaxed Er3Al3SiPd2 crystal, computed with PBE-GGA.

As for the uncorrected energy: -5.28 eV/atom. Its crystal system is hexagonal. The value obtained for the volume is 176 Å³ per cell.

```
data_Er3Al3SiPd2
_chemical_formula_sum 'Er3 Al3 Si1 Pd2'
_cell_length_a 7.3415
_cell_length_b 7.3415
_cell_length_c 3.7744
_cell_angle_alpha 90.00
_cell_angle_beta 90.00
_cell_angle_gamma 120.00
_space_group_name_H-M_alt 'P -6 2 m'
_space_group_IT_number 189
_space_group_name_Hall 'P -6 -2'
loop_
_atom_site_label
_atom_site_type_symbol
_atom_site_fract_x
_atom_site_fract_y
_atom_site_fract_z
Er1 Er 0.0000 0.5996 0.0000
Al1 Al 0.0000 0.2545 0.5000
Si1 Si 0.0000 0.0000 0.0000
Pd1 Pd 0.3333 0.6667 0.5000
```


# 3
A relaxed Er3Al3SiPd2 crystal, computed with PBE-GGA.

As for the uncorrected energy: -4.93 eV/atom. Its crystal system is hexagonal. The value obtained for the volume is 187 Å³ per cell.

```
data_Er3Al3SiPd2
_chemical_formula_sum 'Er3 Al3 Si1 Pd2'
_cell_length_a 7.4906
_cell_length_b 7.4906
_cell_length_c 3.8531
_cell_angle_alpha 90.00
_cell_angle_beta 90.00
_cell_angle_gamma 120.00
_space_group_name_H-M_alt 'P -6 2 m'
_space_group_IT_number 189
_space_group_name_Hall 'P -6 -2'
loop_
_atom_site_label
_atom_site_type_symbol
_atom_site_fract_x
_atom_site_fract_y
_atom_site_fract_z
Er1 Er 0.0000 0.2736 0.0000
Al1 Al 0.0000 0.6005 0.5000
Si1 Si 0.0000 0.0000 0.5000
Pd1 Pd 0.3333 0.6667 0.0000
```


# 4
A relaxed ErTm2Al3Si2Pd crystal, computed with PBE-GGA.

As for the uncorrected energy: -5.33 eV/atom. Its crystal system is orthorhombic. The value obtained for the volume is 340 Å³ per cell.

```
data_ErTm2Al3Si2Pd
_chemical_formula_sum 'Er2 Tm4 Al6 Si4 Pd2'
_cell_length_a 4.217
_cell_length_b 11.820
_cell_length_c 6.820
_cell_angle_alpha 90.00
_cell_angle_beta 90.00
_cell_angle_gamma 90.00
_space_group_name_H-M_alt 'A m m 2'
_space_group_IT_number 38
loop_
_space_group_symop_operation_xyz
'x,y,z'
'-x,-y,z'
'-x,y,z'
'x,-y,z'
'x,y+1/2,z+1/2'
'-x,-y+1/2,z+1/2'
'-x,y+1/2,z+1/2'
'x,-y+1/2,z+1/2'
loop_
_atom_site_label
_atom_site_type_symbol
_atom_site_fract_x
_atom_site_fract_y
_atom_site_fract_z
Er1 Er 0.000 0.000 0.000
Tm1 Tm 0.000 0.209 0.373
Al1 Al 0.500 0.000 0.342
Al2 Al 0.500 0.120 0.702
Si1 Si 0.500 0.167 0.082
Pd1 Pd 0.000 0.000 0.581
```


# 5
A relaxed SmErAl2Pd4 crystal, computed with PBE-GGA.

As for the uncorrected energy: -5.62 eV/atom. Its crystal system is hexagonal. The value obtained for the volume is 153 Å³ per cell.

```
data_SmErAl2Pd4
_chemical_formula_sum 'Sm1 Er1 Al2 Pd4'
_cell_length_a 4.3704
_cell_length_b 4.3704
_cell_length_c 9.2250
_cell_angle_alpha 90.00
_cell_angle_beta 90.00
_cell_angle_gamma 120.00
_space_group_name_H-M_alt 'P -6 m 2'
_space_group_IT_number 187
_space_group_name_Hall 'P -6 2'
loop_
_atom_site_label
_atom_site_type_symbol
_atom_site_fract_x
_atom_site_fract_y
_atom_site_fract_z
Sm1 Sm 0.0000 0.0000 0.0000
Er1 Er 0.3333 0.6667 0.5000
Al1 Al 0.6667 0.3333 0.2568
Pd1 Pd 0.0000 0.0000 0.3342
Pd2 Pd 0.3333 0.6667 0.1774
```


# 6
A relaxed TbErAl2Pd4 crystal, computed with PBE-GGA.

As for the uncorrected energy: -5.62 eV/atom. Its crystal system is hexagonal. The value obtained for the volume is 150 Å³ per cell.

```
data_TbErAl2Pd4
_chemical_formula_sum 'Tb1 Er1 Al2 Pd4'
_cell_length_a 4.3582
_cell_length_b 4.3582
_cell_length_c 9.0972
_cell_angle_alpha 90.00
_cell_angle_beta 90.00
_cell_angle_gamma 120.00
_space_group_name_H-M_alt 'P -6 m 2'
_space_group_IT_number 187
_space_group_name_Hall 'P -6 2'
loop_
_atom_site_label
_atom_site_type_symbol
_atom_site_fract_x
_atom_site_fract_y
_atom_site_fract_z
Tb1 Tb 0.0000 0.0000 0.0000
Er1 Er 0.3333 0.6667 0.5000
Al1 Al 0.6667 0.3333 0.2519
Pd1 Pd 0.0000 0.0000 0.3339
Pd2 Pd 0.3333 0.6667 0.1727
```


# 7
A relaxed TbErAl4Pd2 crystal, computed with PBE-GGA.

As for the uncorrected energy: -5.11 eV/atom. Its crystal system is orthorhombic. The value obtained for the volume is 304 Å³ per cell.

```
data_TbErAl4Pd2
_chemical_formula_sum 'Tb2 Er2 Al8 Pd4'
_cell_length_a 6.960
_cell_length_b 4.294
_cell_length_c 10.177
_cell_angle_alpha 90.00
_cell_angle_beta 90.00
_cell_angle_gamma 90.00
_space_group_name_H-M_alt 'A m m 2'
_space_group_IT_number 38
loop_
_space_group_symop_operation_xyz
'x,y,z'
'-x,-y,z'
'-x,y,z'
'x,-y,z'
'x,y+1/2,z+1/2'
'-x,-y+1/2,z+1/2'
'-x,y+1/2,z+1/2'
'x,-y+1/2,z+1/2'
loop_
_atom_site_label
_atom_site_type_symbol
_atom_site_fract_x
_atom_site_fract_y
_atom_site_fract_z
Tb1 Tb 0.000 0.000 0.000
Er1 Er 0.500 0.000 0.143
Al1 Al 0.198 0.000 0.713
Al2 Al 0.304 0.000 0.430
Pd1 Pd 0.000 0.000 0.282
Pd2 Pd 0.500 0.000 0.862
```


# 8
A relaxed ErTmAl4Pd2 crystal, computed with PBE-GGA.

As for the uncorrected energy: -5.09 eV/atom. Its crystal system is orthorhombic. The value obtained for the volume is 299 Å³ per cell.

```
data_ErTmAl4Pd2
_chemical_formula_sum 'Er2 Tm2 Al8 Pd4'
_cell_length_a 6.931
_cell_length_b 4.269
_cell_length_c 10.098
_cell_angle_alpha 90.00
_cell_angle_beta 90.00
_cell_angle_gamma 90.00
_space_group_name_H-M_alt 'A m m 2'
_space_group_IT_number 38
loop_
_space_group_symop_operation_xyz
'x,y,z'
'-x,-y,z'
'-x,y,z'
'x,-y,z'
'x,y+1/2,z+1/2'
'-x,-y+1/2,z+1/2'
'-x,y+1/2,z+1/2'
'x,-y+1/2,z+1/2'
loop_
_atom_site_label
_atom_site_type_symbol
_atom_site_fract_x
_atom_site_fract_y
_atom_site_fract_z
Er1 Er 0.000 0.000 0.000
Tm1 Tm 0.500 0.000 0.144
Al1 Al 0.197 0.000 0.712
Al2 Al 0.303 0.000 0.432
Pd1 Pd 0.000 0.000 0.283
Pd2 Pd 0.500 0.000 0.862
```


# 9
A relaxed ErTmAl2Pd4 crystal, computed with PBE-GGA.

As for the uncorrected energy: -5.61 eV/atom. Its crystal system is hexagonal. The value obtained for the volume is 148 Å³ per cell.

```
data_ErTmAl2Pd4
_chemical_formula_sum 'Er1 Tm1 Al2 Pd4'
_cell_length_a 4.3480
_cell_length_b 4.3480
_cell_length_c 9.0228
_cell_angle_alpha 90.00
_cell_angle_beta 90.00
_cell_angle_gamma 120.00
_space_group_name_H-M_alt 'P -6 m 2'
_space_group_IT_number 187
_space_group_name_Hall 'P -6 2'
loop_
_atom_site_label
_atom_site_type_symbol
_atom_site_fract_x
_atom_site_fract_y
_atom_site_fract_z
Er1 Er 0.0000 0.0000 0.0000
Tm1 Tm 0.6667 0.3333 0.5000
Al1 Al 0.3333 0.6667 0.2504
Pd1 Pd 0.0000 0.0000 0.3325
Pd2 Pd 0.6667 0.3333 0.1691
```


# 10
A relaxed YErAl2Pd4 crystal, computed with PBE-GGA.

As for the uncorrected energy: -5.85 eV/atom. Its crystal system is hexagonal. The value obtained for the volume is 150 Å³ per cell.

```
data_YErAl2Pd4
_chemical_formula_sum 'Y1 Er1 Al2 Pd4'
_cell_length_a 4.3549
_cell_length_b 4.3549
_cell_length_c 9.1085
_cell_angle_alpha 90.00
_cell_angle_beta 90.00
_cell_angle_gamma 120.00
_space_group_name_H-M_alt 'P -6 m 2'
_space_group_IT_number 187
_space_group_name_Hall 'P -6 2'
loop_
_atom_site_label
_atom_site_type_symbol
_atom_site_fract_x
_atom_site_fract_y
_atom_site_fract_z
Y1 Y 0.0000 0.0000 0.0000
Er1 Er 0.6667 0.3333 0.5000
Al1 Al 0.3333 0.6667 0.2509
Pd1 Pd 0.0000 0.0000 0.3343
Pd2 Pd 0.6667 0.3333 0.1728
```